[1]
DFT (PBE-GGA) results for a geometry-optimized Zn2RhAu2 structure.

a b c (Å): 4.710 4.710 4.483
angles (deg): 90.00 90.00 90.00
Positions (direct):
Rh 0.500 0.500 0.500
Zn 0.000 0.000 0.000
Zn 0.000 0.000 0.500
Au 0.000 0.500 0.000
Au 0.500 0.000 0.000

Properties
raw total energy = -12.79 eV per cell
symmetry = No. 123
ΔE_f = 0.7319 eV per atom
energy above the most stable polymorph in this dataset = 992 meV per atom


[2]
DFT (PBE-GGA) results for a geometry-optimized Zn2RhAu structure.

a b c (Å): 3.084 3.299 5.874
angles (deg): 90.00 90.00 90.00
Positions (direct):
Rh 0.500 0.500 0.750
Zn 0.000 0.000 0.980
Zn 0.000 0.000 0.520
Au 0.500 0.500 0.250

Properties
raw total energy = -14.54 eV per cell
symmetry = No. 47
ΔE_f = -0.3406 eV per atom


[3]
DFT (PBE-GGA) results for a geometry-optimized Zn5Rh4Au structure.

a b c (Å): 3.078 3.078 15.041
angles (deg): 90.00 90.00 90.00
Positions (direct):
Zn 0.500 0.500 0.113
Zn 0.500 0.500 0.305
Zn 0.500 0.500 0.500
Zn 0.500 0.500 0.695
Zn 0.500 0.500 0.887
Rh 0.000 0.000 0.205
Rh 0.000 0.000 0.402
Rh 0.000 0.000 0.598
Rh 0.000 0.000 0.795
Au 0.000 0.000 0.000

Properties
raw total energy = -42.75 eV per cell
symmetry = No. 123
ΔE_f = -0.3696 eV per atom


[4]
DFT (PBE-GGA) results for a geometry-optimized Zn2RhAu structure.

a b c (Å): 4.376 4.376 4.376
angles (deg): 60.00 60.00 60.00
Positions (direct):
Rh 0.000 0.000 0.000
Zn 0.250 0.250 0.250
Zn 0.750 0.750 0.750
Au 0.500 0.500 0.500

Properties
raw total energy = -14.41 eV per cell
symmetry = No. 225
ΔE_f = -0.3084 eV per atom


[5]
DFT (PBE-GGA) results for a geometry-optimized ZrRhAu2 structure.

a b c (Å): 4.659 4.659 4.659
angles (deg): 60.00 60.00 60.00
Positions (direct):
Au 0.000 0.000 0.000
Au 0.750 0.750 0.750
Rh 0.500 0.500 0.500
Zr 0.250 0.250 0.250

Properties
raw total energy = -24.12 eV per cell
symmetry = No. 216
ΔE_f = -0.4176 eV per atom


[6]
DFT (PBE-GGA) results for a geometry-optimized ZrRh2Au structure.

a b c (Å): 8.834 8.834 8.834
angles (deg): 20.02 20.02 20.02
Positions (direct):
Au 0.250 0.250 0.250
Rh 0.005 0.005 0.005
Rh 0.495 0.495 0.495
Zr 0.750 0.750 0.750

Properties
raw total energy = -27.20 eV per cell
symmetry = No. 166
ΔE_f = -0.1671 eV per atom


[7]
DFT (PBE-GGA) results for a geometry-optimized Zr2RhAu structure.

a b c (Å): 3.477 3.477 6.356
angles (deg): 90.00 90.00 90.00
Positions (direct):
Au 0.000 0.000 0.501
Rh 0.500 0.500 0.763
Zr 0.000 0.000 0.963
Zr 0.500 0.500 0.273

Properties
raw total energy = -29.78 eV per cell
symmetry = No. 99
ΔE_f = -0.5143 eV per atom


[8]
DFT (PBE-GGA) results for a geometry-optimized ZrRh2Au structure.

a b c (Å): 3.004 3.004 7.566
angles (deg): 90.00 90.00 90.01
Site moments in Bohr magnetons follow the coordinates.
Positions (direct):
Au 0.500 0.500 0.760  0.01
Rh 0.000 0.000 0.011  0.30
Rh 0.500 0.500 0.246  0.13
Zr 0.000 0.000 0.483  -0.02

Properties
raw total energy = -27.26 eV per cell
symmetry = No. 99
ΔE_f = -0.1825 eV per atom


[9]
DFT (PBE-GGA) results for a geometry-optimized ZrRhAu2 structure.

a b c (Å): 8.390 8.390 8.390
angles (deg): 22.81 22.81 22.81
Positions (direct):
Au 0.002 0.002 0.002
Au 0.247 0.247 0.247
Rh 0.494 0.494 0.494
Zr 0.756 0.756 0.756

Properties
raw total energy = -23.31 eV per cell
symmetry = No. 160
ΔE_f = -0.2131 eV per atom


[10]
DFT (PBE-GGA) results for a geometry-optimized Zr2Rh4Au structure.

a b c (Å): 3.678 3.678 9.556
angles (deg): 101.10 101.10 90.00
Positions (direct):
Zr 0.600 0.600 0.200
Zr 0.400 0.400 0.800
Rh 0.145 0.145 0.290
Rh 0.855 0.855 0.710
Rh 0.750 0.250 0.500
Rh 0.250 0.750 0.500
Au 0.000 0.000 0.000

Properties
raw total energy = -52.40 eV per cell
symmetry = No. 139
ΔE_f = -0.3737 eV per atom


[11]
DFT (PBE-GGA) results for a geometry-optimized ZrRhAu2 structure.

a b c (Å): 4.156 3.107 6.321
angles (deg): 60.54 90.00 90.00
Positions (direct):
Au 0.000 0.995 0.005
Au 0.000 0.505 0.495
Rh 0.500 0.250 0.250
Zr 0.500 0.750 0.750

Properties
raw total energy = -24.06 eV per cell
symmetry = No. 47
ΔE_f = -0.4006 eV per atom


[12]
DFT (PBE-GGA) results for a geometry-optimized ZrRhAu2 structure.

a b c (Å): 5.270 5.270 5.270
angles (deg): 135.94 135.93 64.08
Positions (direct):
Rh 0.750 0.250 0.500
Au 0.000 0.000 0.000
Au 0.500 0.500 0.000
Zr 0.250 0.750 0.500

Properties
raw total energy = -24.74 eV per cell
symmetry = No. 139
ΔE_f = -0.5725 eV per atom


Theoretical density for every record listed, in sequence, given in g/cm³: 10.5; 12.0; 10.9; 12.1; 13.7; 11.6; 10.4; 12.0; 12.5; 10.6; 13.7; 14.0.